(1)
A plane-wave DFT calculation with GGA-PBE was carried out for a geometry-optimized YMg11Cu structure.

Unit cell a=5.727 b=7.612 c=7.692 alpha=82.43 beta=68.15 gamma=69.27
Fractional positions:
Mg: 0.493 0.782 0.205
Mg: 0.301 0.218 0.205
Mg: 0.000 0.500 0.000
Mg: 0.500 0.000 0.500
Mg: 0.507 0.218 0.795
Mg: 0.000 0.000 0.500
Mg: 0.355 0.643 0.659
Mg: 0.014 0.643 0.341
Mg: 0.645 0.357 0.341
Mg: 0.986 0.357 0.659
Mg: 0.699 0.782 0.795
Cu: 0.500 0.500 0.000
Y: 0.000 0.000 0.000

Summary:
For the formation energy, the calculation gives -0.43 eV/f.u. The value obtained for the energy is -28.5 eV per cell.

(2)
A plane-wave DFT calculation with GGA-PBE was carried out for a geometry-optimized RbCu2Tc structure.

Unit cell a=4.853 b=4.853 c=4.853 alpha=60.00 beta=60.00 gamma=60.00
Each line ends with the local moment (μB).
Fractional positions:
Cu: 0.750 0.750 0.750  0.10
Cu: 0.250 0.250 0.250  0.10
Rb: 0.000 0.000 0.000  0.02
Tc: 0.500 0.500 0.500  2.54

Summary:
For the formation energy, the calculation gives 5.49 eV/f.u. Its energy above the most stable polymorph in this dataset is 250 meV per atom. The value obtained for the energy is -14.0 eV per cell.